CsBaPS4: optimized geometry, GGA-PBEsol.

Output
The energy is -140.33 eV/cell.

a b c (Å): 11.5879 6.7494 10.0112
angles (deg): 90.00 90.00 90.00
Space group Pnma (No. 62)
Symmetry-distinct sites (fractional):
Cs: 0.0755 0.2500 0.1429
Ba: 0.1509 0.2500 0.5992
P: 0.1776 0.7500 0.3837
S: 0.0707 0.7500 0.2209
S: 0.0892 0.7500 0.5610
S: 0.2219 0.0020 0.8712

---

CsBaSi2P: optimized geometry, GGA-PBEsol.

Output
The energy is -14.20 eV/cell.

a b c (Å): 5.4979 5.4979 5.5854
angles (deg): 90.00 90.00 90.00
Space group P4/mmm (No. 123)
Symmetry-distinct sites (fractional):
Cs: 0.0000 0.0000 0.0000
Ba: 0.5000 0.5000 0.5000
Si: 0.0000 0.5000 0.0000
P: 0.0000 0.0000 0.5000

---

CsBa3Pd: optimized geometry, GGA-PBEsol.

Output
Its formation energy is -136 meV/atom.

a b c (Å): 6.4091 6.4091 6.4091
angles (deg): 90.00 90.00 90.00
Space group Pm-3m (No. 221)
Symmetry-distinct sites (fractional):
Cs: 0.0000 0.0000 0.0000
Ba: 0.0000 0.5000 0.5000
Pd: 0.5000 0.5000 0.5000

---

CsBaRh2: optimized geometry, GGA-PBEsol.

Output
Its formation energy is 791 meV/atom.

a b c (Å): 7.3071 7.3071 7.3071
angles (deg): 90.00 90.00 90.00
Space group Fm-3m (No. 225)
Symmetry-distinct sites (fractional):
Cs: 0.0000 0.0000 0.0000
Ba: 0.0000 0.0000 0.5000
Rh: 0.2500 0.2500 0.2500

---

CsBaZr2Ru: optimized geometry, GGA-PBEsol.

Output
Its formation energy is 1762 meV/atom.

a b c (Å): 5.3387 5.3387 4.9686
angles (deg): 90.00 90.00 90.00
Space group P4/mmm (No. 123)
Symmetry-distinct sites (fractional):
Cs: 0.0000 0.0000 0.0000
Ba: 0.5000 0.5000 0.5000
Zr: 0.0000 0.5000 0.0000
Ru: 0.0000 0.0000 0.5000

---

CsBaVS4: optimized geometry, GGA-PBEsol.

Output
The energy is -160.50 eV/cell.

a b c (Å): 11.7714 6.7389 9.9655
angles (deg): 90.00 90.00 90.00
Space group Pnma (No. 62)
Symmetry-distinct sites (fractional):
Cs: 0.0682 0.2500 0.1327
Ba: 0.1518 0.2500 0.5928
V: 0.1711 0.7500 0.3791
S: 0.0587 0.7500 0.2098
S: 0.0805 0.7500 0.5651
S: 0.2219 0.5042 0.8642

---

CsBaSbTe2: optimized geometry, GGA-PBEsol.

Output
The energy is -13.69 eV/cell.

a b c (Å): 6.1721 6.1721 5.9431
angles (deg): 90.00 90.00 90.00
Space group P4/mmm (No. 123)
Symmetry-distinct sites (fractional):
Cs: 0.0000 0.0000 0.0000
Ba: 0.5000 0.5000 0.5000
Sb: 0.0000 0.0000 0.5000
Te: 0.0000 0.5000 0.0000

---

CsBaSc2: optimized geometry, GGA-PBEsol.

Output
Its formation energy is 603 meV/atom.

a b c (Å): 3.5177 3.5177 38.4585
angles (deg): 90.00 90.00 120.00
Space group R-3m (No. 166, hexagonal axes)
Symmetry-distinct sites (fractional):
Cs: 0.0000 0.0000 0.0000
Ba: 0.0000 0.0000 0.5000
Sc: 0.0000 0.0000 0.0889

---

Cs2BaScTe: optimized geometry, GGA-PBEsol.

Output
The energy is -11.54 eV/cell.

a b c (Å): 7.9934 7.9934 6.2580
angles (deg): 90.00 90.00 90.00
Space group P4/mmm (No. 123)
Symmetry-distinct sites (fractional):
Cs: 0.0000 0.5000 0.0000
Ba: 0.0000 0.0000 0.0000
Sc: 0.5000 0.5000 0.5000
Te: 0.0000 0.0000 0.5000

---

CsBaSe2: optimized geometry, GGA-PBEsol.

Output
The energy is -59.05 eV/cell.

a b c (Å): 7.7589 7.7589 14.6515
angles (deg): 90.00 90.00 90.00
Space group I-42d (No. 122)
Symmetry-distinct sites (fractional):
Cs: 0.0000 0.0000 0.0000
Ba: 0.0000 0.0000 0.5000
Se: 0.2077 0.2500 0.6250

---

Cs2BaSi2: optimized geometry, GGA-PBEsol.

Output
The energy is -30.00 eV/cell.

a b c (Å): 8.1888 8.1888 6.1097
angles (deg): 90.00 90.00 90.00
Space group P4/mbm (No. 127)
Symmetry-distinct sites (fractional):
Cs: 0.1753 0.3247 0.0000
Ba: 0.0000 0.0000 0.5000
Si: 0.0962 0.5962 0.5000

---

CsBaZrSi2: optimized geometry, GGA-PBEsol.

Output
The energy is -14.50 eV/cell.

a b c (Å): 5.5155 5.5155 5.8913
angles (deg): 90.00 90.00 90.00
Space group P4/mmm (No. 123)
Symmetry-distinct sites (fractional):
Cs: 0.0000 0.0000 0.0000
Ba: 0.0000 0.0000 0.5000
Zr: 0.5000 0.5000 0.5000
Si: 0.0000 0.5000 0.0000